(1)
Computed, not measured: a relaxed structure of Er2LuF at the PBE level of DFT.

Cell lengths 3.629, 3.629, 24.895 Å; angles 90.00, 90.00, 120.00 degrees
Positions (direct):
Er 0.000 0.000 0.224
Er 0.000 0.000 0.776
Er 0.333 0.667 0.443
Er 0.333 0.667 0.890
Er 0.667 0.333 0.110
Er 0.667 0.333 0.557
Lu 0.000 0.000 0.000
Lu 0.333 0.667 0.667
Lu 0.667 0.333 0.333
F 0.000 0.000 0.500
F 0.333 0.667 0.167
F 0.667 0.333 0.833

## Properties
**SG**: No. 166

(2)
Computed, not measured: a relaxed structure of ErMg2F8 at the PBE level of DFT.

Cell lengths 6.409, 6.409, 6.409 Å; angles 133.47, 133.47, 67.92 degrees
Positions (direct):
Er 0.000 0.000 0.000
Mg 0.250 0.750 0.500
Mg 0.750 0.250 0.500
F 0.109 0.109 0.487
F 0.109 0.622 0.000
F 0.378 0.378 0.487
F 0.378 0.891 0.000
F 0.622 0.109 0.000
F 0.622 0.622 0.513
F 0.891 0.378 0.000
F 0.891 0.891 0.513

## Properties
**SG**: No. 139

(3)
Computed, not measured: a relaxed structure of Er2MgF at the PBE level of DFT.

Cell lengths 3.273, 3.273, 30.416 Å; angles 90.00, 90.00, 120.00 degrees
Positions (direct):
Er 0.000 0.000 0.106
Er 0.000 0.000 0.894
Er 0.333 0.667 0.560
Er 0.333 0.667 0.773
Er 0.667 0.333 0.227
Er 0.667 0.333 0.440
Mg 0.000 0.000 0.000
Mg 0.333 0.667 0.667
Mg 0.667 0.333 0.333
F 0.000 0.000 0.500
F 0.333 0.667 0.167
F 0.667 0.333 0.833

## Properties
**SG**: No. 166

(4)
Computed, not measured: a relaxed structure of ErMgF4 at the PBE level of DFT.

Cell lengths 3.608, 3.553, 5.644 Å; angles 90.00, 90.72, 90.00 degrees
Positions (direct):
Er 0.000 0.000 0.000
Mg 0.500 0.500 0.500
F 0.006 0.500 0.281
F 0.494 0.000 0.722
F 0.506 0.000 0.278
F 0.994 0.500 0.719

## Properties
**SG**: No. 10

(5)
Computed, not measured: a relaxed structure of NaErMgF6 at the PBE level of DFT.

Cell lengths 5.607, 5.607, 9.546 Å; angles 90.00, 90.00, 120.00 degrees
Positions (direct):
Na 0.000 0.000 0.000
Na 0.000 0.000 0.500
Er 0.333 0.667 0.250
Er 0.667 0.333 0.750
Mg 0.333 0.667 0.750
Mg 0.667 0.333 0.250
F 0.020 0.369 0.638
F 0.020 0.651 0.862
F 0.349 0.369 0.862
F 0.349 0.980 0.638
F 0.369 0.020 0.138
F 0.369 0.349 0.362
F 0.631 0.651 0.638
F 0.631 0.980 0.862
F 0.651 0.020 0.362
F 0.651 0.631 0.138
F 0.980 0.349 0.138
F 0.980 0.631 0.362

## Properties
**SG**: No. 163

no.,raw formation energy (eV per formula unit),M_tot (μB per formula unit)
1,-4.51,0.00
2,-35.86,1.02
3,-3.25,0.00
4,-20.13,0.00
5,-32.42,0.00